(1)
# GGA-PBE Sc2RhPb, relaxed
# Formation energy, eV/f.u.: -1.5
# Crystal system: orthorhombic
# Magnetic moment, μB/cell: 0.00
# Electronic total energy, eV per atom: -6.3157
# Theoretical density, kg/m³: 7526
data_Sc2RhPb
_cell_length_a 3.344
_cell_length_b 4.369
_cell_length_c 6.043
_cell_angle_alpha 90.00
_cell_angle_beta 90.00
_cell_angle_gamma 90.00
_symmetry_space_group_name_H-M 'P m m 2'
_symmetry_Int_Tables_number 25
loop_
_symmetry_equiv_pos_as_xyz
'x,y,z'
'-x,-y,z'
'-x,y,z'
'x,-y,z'
loop_
_atom_site_label
_atom_site_type_symbol
_atom_site_fract_x
_atom_site_fract_y
_atom_site_fract_z
_atom_site_occupancy
Sc1 Sc 0.000 0.000 0.000 1
Sc2 Sc 0.500 0.500 0.300 1
Rh1 Rh 0.500 0.500 0.887 1
Pb1 Pb 0.000 0.000 0.517 1

(2)
# GGA-PBE Pu4AsS3, relaxed
# Crystal system: monoclinic
# Magnetic moment, μB/cell: 0.00
# Electronic total energy, eV per atom: -10.8427
# Theoretical density, kg/m³: 10527
data_Pu4AsS3
_cell_length_a 6.909
_cell_length_b 3.992
_cell_length_c 6.954
_cell_angle_alpha 90.00
_cell_angle_beta 109.39
_cell_angle_gamma 90.00
_symmetry_space_group_name_H-M 'P 1 2/m 1'
_symmetry_Int_Tables_number 10
loop_
_symmetry_equiv_pos_as_xyz
'x,y,z'
'-x,-y,-z'
'-x,y,-z'
'x,-y,z'
loop_
_atom_site_label
_atom_site_type_symbol
_atom_site_fract_x
_atom_site_fract_y
_atom_site_fract_z
_atom_site_occupancy
Pu1 Pu 0.242 0.000 0.242 1
Pu2 Pu 0.246 0.500 0.754 1
As1 As 0.500 0.500 0.500 1
S1 S 0.000 0.000 0.500 1
S2 S 0.000 0.500 0.000 1
S3 S 0.500 0.000 0.000 1

(3)
# GGA-PBE LiCeSi4, relaxed
# Crystal system: cubic
# Magnetic moment, μB/cell: 1.35
# Electronic total energy, eV per atom: -5.1825
# Theoretical density, kg/m³: 4240
data_LiCeSi4
_cell_length_a 7.407
_cell_length_b 7.407
_cell_length_c 7.407
_cell_angle_alpha 90.00
_cell_angle_beta 90.00
_cell_angle_gamma 90.00
_symmetry_space_group_name_H-M 'F -4 3 m'
_symmetry_Int_Tables_number 216
_symmetry_space_group_name_Hall 'F -4 2 3'
loop_
_atom_site_label
_atom_site_type_symbol
_atom_site_fract_x
_atom_site_fract_y
_atom_site_fract_z
_atom_site_occupancy
Li1 Li 0.000 0.000 0.000 1
Ce1 Ce 0.250 0.250 0.750 1
Si1 Si 0.127 0.127 0.373 1